(1)
Entry from Alexandria via LeMat-Bulk: MnTePt at its PBEsol-relaxed geometry (SCAN).

Cell lengths 3.5886, 3.5886, 4.7886 Å; angles 111.97, 111.97, 90.01 degrees
With the nearest neighbours (Å) after each atom.
Fractional positions:
Mn: 0.0038 0.0038 0.0075  5 Te 2.69-2.89, 5 Pt 2.78-2.84
Pt: 0.6615 0.6615 0.3230  5 Te 2.66-2.90, 5 Mn 2.78-2.84
Te: 0.3347 0.3347 0.6695  5 Pt 2.66-2.90, 5 Mn 2.69-2.89

Results
- Space-group type: No. 107
- Density: 11.98 g/cm³
- E_form (uncorrected): -0.2385 eV per atom

(2)
Entry from Alexandria via LeMat-Bulk: MnTePt at its PBEsol-relaxed geometry (SCAN).

Cell lengths 3.8450, 3.8450, 4.4426 Å; angles 90.00, 90.00, 120.00 degrees
With the nearest neighbours (Å) after each atom.
Fractional positions:
Mn: 0.0000 0.0000 0.9683  3 Pt 2.52, 3 Te 2.75
Pt: 0.6667 0.3333 0.6987  3 Mn 2.52, 3 Te 2.75
Te: 0.3333 0.6667 0.3330  3 Mn 2.75, 3 Pt 2.75

Results
- Space-group type: No. 156
- Density: 11.02 g/cm³
- E_form (uncorrected): -0.3170 eV per atom